A relaxed Y4CoBi crystal, computed with PBE.

```
data_Y4CoBi
_chemical_formula_sum 'Y16 Co4 Bi4'
_cell_length_a 8.935
_cell_length_b 13.240
_cell_length_c 6.072
_cell_angle_alpha 90.00
_cell_angle_beta 111.80
_cell_angle_gamma 90.00
_symmetry_space_group_name_H-M 'C 1 2/c 1'
_symmetry_Int_Tables_number 15
_symmetry_space_group_name_Hall '-C 2yc'
loop_
_atom_site_label
_atom_site_type_symbol
_atom_site_fract_x
_atom_site_fract_y
_atom_site_fract_z
_atom_site_occupancy
Y1 Y 0.107 0.163 0.061 1
Y2 Y 0.221 0.424 0.361 1
Co1 Co 0.000 0.000 0.250 1
Bi1 Bi 0.000 0.373 0.750 1
```

Calculated values
ρ: 6210 kg/m³
E: -156.1 eV for the cell shown